# 1
The following is a SCAN calculation of a PBEsol-optimized structure of Al2N2Cl, from Alexandria.

## Properties
space group	I4/mmm

a = 4.3579 Å, b = 4.3579 Å, c = 4.3579 Å
α = 125.33°, β = 125.33°, γ = 80.98°
Last column: nearest neighbours and their distance in Å.
Sites, in units of the cell vectors:
Al (0.2500, 0.7500, 0.5000)  4 N 2.20
Al (0.7500, 0.2500, 0.5000)  4 N 2.20
N (0.1113, 0.1113, 0.0000)  1 N 1.48
N (0.8887, 0.8887, 0.0000)  1 N 1.48
Cl (0.5000, 0.5000, 0.0000)  2 N 2.58, 8 Al 2.60

***

# 2
The following is a SCAN calculation of a PBEsol-optimized structure of Pr20AlSi19N33Cl2O19, from Alexandria.

## Properties
space group	Pm

a = 10.5469 Å, b = 11.6114 Å, c = 11.1645 Å
α = 90.00°, β = 90.10°, γ = 90.00°
Last column: nearest neighbours and their distance in Å.
Sites, in units of the cell vectors:
Pr (0.0000, 0.0000, 0.0000)  3 O 2.43-2.62, 4 N 2.46-2.61
Pr (0.0056, 0.5000, 0.2588)  4 N 2.48-2.63, 2 O 2.62
Pr (0.0135, 0.2270, 0.7702)  3 O 2.39-2.45, 4 N 2.46-2.65
Pr (0.0135, 0.7730, 0.7702)  3 O 2.39-2.45, 4 N 2.46-2.65
Pr (0.2256, 0.2371, 0.2742)  3 N 2.36-2.61, 2 O 2.43
Pr (0.2256, 0.7629, 0.2742)  3 N 2.36-2.61, 2 O 2.43
Pr (0.2308, 0.0000, 0.5020)  5 N 2.39-2.60, 1 O 2.51
Pr (0.2404, 0.5000, 0.7564)  4 N 2.39-2.54, 2 O 2.67
Pr (0.3636, 0.1642, 0.8767)  5 N 2.51-2.79, 3 O 2.56-2.61
Pr (0.3636, 0.8358, 0.8767)  5 N 2.51-2.79, 3 O 2.56-2.61
Pr (0.4701, 0.0000, 0.2371)  3 N 2.40-2.57, 3 O 2.43-2.48
Pr (0.4982, 0.5000, 0.9927)  4 N 2.47-2.61, 2 O 2.63
Pr (0.5070, 0.2301, 0.4809)  4 N 2.36-2.63, 2 O 2.41-2.45
Pr (0.5070, 0.7699, 0.4809)  4 N 2.36-2.63, 2 O 2.41-2.45
Pr (0.7217, 0.2431, 0.9796)  3 O 2.35-2.44, 3 N 2.52-2.60
Pr (0.7217, 0.7569, 0.9796)  3 O 2.35-2.44, 3 N 2.52-2.60
Pr (0.7428, 0.5000, 0.4942)  4 N 2.39-2.53, 2 O 2.65
Pr (0.7546, 0.0000, 0.7481)  3 O 2.37-2.41, 3 N 2.45-2.60
Pr (0.8691, 0.1722, 0.3732)  4 O 2.46-2.57, 3 N 2.52-2.69
Pr (0.8691, 0.8278, 0.3732)  4 O 2.46-2.57, 3 N 2.52-2.69
Al (0.5873, 0.0000, 0.9828)  2 O 1.78-1.79, 2 N 1.81
Si (0.0203, 0.3641, 0.5216)  1 O 1.68, 3 N 1.70-1.73
Si (0.0203, 0.6359, 0.5216)  1 O 1.68, 3 N 1.70-1.73
Si (0.0859, 0.0000, 0.2609)  1 O 1.70, 3 N 1.71-1.72
Si (0.1511, 0.0000, 0.7696)  4 N 1.73-1.76
Si (0.2144, 0.3651, 0.0189)  1 O 1.68, 3 N 1.70-1.72
Si (0.2144, 0.6349, 0.0189)  1 O 1.68, 3 N 1.70-1.72
Si (0.2536, 0.2428, 0.6145)  4 N 1.69-1.75
Si (0.2536, 0.7572, 0.6145)  4 N 1.69-1.75
Si (0.4824, 0.2495, 0.1326)  1 O 1.67, 3 N 1.70-1.72
Si (0.4824, 0.7505, 0.1326)  1 O 1.67, 3 N 1.70-1.72
Si (0.5177, 0.3640, 0.7313)  1 O 1.67, 3 N 1.70-1.73
Si (0.5177, 0.6360, 0.7313)  1 O 1.67, 3 N 1.70-1.73
Si (0.6607, 0.0000, 0.4841)  2 O 1.66-1.68, 2 N 1.70
Si (0.7160, 0.3666, 0.2327)  1 O 1.68, 3 N 1.70-1.72
Si (0.7160, 0.6334, 0.2327)  1 O 1.68, 3 N 1.70-1.72
Si (0.7517, 0.2470, 0.6322)  1 O 1.67, 3 N 1.69-1.75
Si (0.7517, 0.7530, 0.6322)  1 O 1.67, 3 N 1.69-1.75
Si (0.9804, 0.2461, 0.1178)  1 O 1.67, 3 N 1.70-1.74
Si (0.9804, 0.7539, 0.1178)  1 O 1.67, 3 N 1.70-1.74
N (0.0302, 0.1233, 0.1935)  2 Si 1.72-1.74
N (0.0302, 0.8767, 0.1935)  2 Si 1.72-1.74
N (0.0920, 0.3522, 0.1202)  2 Si 1.70-1.72
N (0.0920, 0.6478, 0.1202)  2 Si 1.70-1.72
N (0.1385, 0.3498, 0.6258)  2 Si 1.71-1.74
N (0.1385, 0.6502, 0.6258)  2 Si 1.71-1.74
N (0.1995, 0.1225, 0.6942)  2 Si 1.73-1.75
N (0.1995, 0.8775, 0.6942)  2 Si 1.73-1.75
N (0.2137, 0.0000, 0.9126)  1 Si 1.73
N (0.2471, 0.0000, 0.2774)  1 Si 1.71
N (0.2643, 0.5000, 0.9832)  2 Si 1.70
N (0.2865, 0.1979, 0.4735)  1 Si 1.69
N (0.2865, 0.8021, 0.4735)  1 Si 1.69
N (0.3408, 0.2853, 0.0699)  2 Si 1.70-1.72
N (0.3408, 0.7147, 0.0699)  2 Si 1.70-1.72
N (0.3927, 0.2829, 0.6825)  2 Si 1.71-1.72
N (0.3927, 0.7171, 0.6825)  2 Si 1.71-1.72
N (0.4672, 0.5000, 0.7606)  2 Si 1.70
N (0.5381, 0.1287, 0.0610)  1 Si 1.72, 1 Al 1.81
N (0.5381, 0.8713, 0.0610)  1 Si 1.72, 1 Al 1.81
N (0.5943, 0.3567, 0.1311)  2 Si 1.71-1.72
N (0.5943, 0.6433, 0.1311)  2 Si 1.71-1.72
N (0.6375, 0.3514, 0.6266)  2 Si 1.71-1.73
N (0.6375, 0.6486, 0.6266)  2 Si 1.71-1.73
N (0.7011, 0.1220, 0.5592)  2 Si 1.70-1.75
N (0.7011, 0.8780, 0.5592)  2 Si 1.70-1.75
N (0.7703, 0.5000, 0.2689)  2 Si 1.70
N (0.8389, 0.2822, 0.1811)  2 Si 1.70-1.72
N (0.8389, 0.7178, 0.1811)  2 Si 1.70-1.72
N (0.8926, 0.2837, 0.5705)  2 Si 1.69-1.73
N (0.8926, 0.7163, 0.5705)  2 Si 1.69-1.73
N (0.9690, 0.5000, 0.4916)  2 Si 1.70
N (0.9846, 0.0000, 0.7773)  1 Si 1.76
Cl (0.2836, 0.5000, 0.3234)  3 Pr 3.02-3.16
Cl (0.7853, 0.5000, 0.9285)  3 Pr 3.11, 2 O 3.37, 2 N 3.46
O (0.0188, 0.0000, 0.3997)  1 Si 1.70
O (0.0443, 0.3121, 0.3834)  1 Si 1.68
O (0.0443, 0.6879, 0.3834)  1 Si 1.68
O (0.1819, 0.3123, 0.8826)  1 Si 1.68
O (0.1819, 0.6877, 0.8826)  1 Si 1.68
O (0.4533, 0.2055, 0.2725)  1 Si 1.67
O (0.4533, 0.7945, 0.2725)  1 Si 1.67
O (0.5044, 0.0000, 0.4565)  1 Si 1.68
O (0.5197, 0.0000, 0.8366)  1 Al 1.78
O (0.5487, 0.3136, 0.8682)  1 Si 1.67
O (0.5487, 0.6864, 0.8682)  1 Si 1.67
O (0.6852, 0.3128, 0.3692)  1 Si 1.68
O (0.6852, 0.6872, 0.3692)  1 Si 1.68
O (0.7274, 0.0000, 0.3496)  1 Si 1.66
O (0.7551, 0.0000, 0.9601)  1 Al 1.79
O (0.7822, 0.2050, 0.7722)  1 Si 1.67
O (0.7822, 0.7950, 0.7722)  1 Si 1.67
O (0.9478, 0.2029, 0.9782)  1 Si 1.67
O (0.9478, 0.7971, 0.9782)  1 Si 1.67

***

# 3
The following is a SCAN calculation of a PBEsol-optimized structure of AlPNCl2, from Alexandria.

## Properties
space group	P4/mmm

a = 5.6226 Å, b = 5.6226 Å, c = 3.2296 Å
α = 90.00°, β = 90.00°, γ = 90.00°
Last column: nearest neighbours and their distance in Å.
Sites, in units of the cell vectors:
Al (0.0000, 0.0000, 0.0000)  2 Al 3.23, 8 Cl 3.24
P (0.5000, 0.5000, 0.0000)  2 N 1.61
N (0.5000, 0.5000, 0.5000)  2 P 1.61
Cl (0.0000, 0.5000, 0.5000)  2 N 2.81
Cl (0.5000, 0.0000, 0.5000)  2 N 2.81

***

The following formation energy (no corrections) values (in eV per atom) correspond, in order, to the records above: -0.03 -2.29 0.61.
The following DOS at the Fermi energy values (in states/eV per atom) correspond, in order, to the records above: 0.183 0.000 0.818.